VASP calculation (GGA-PBE) on an optimized crystal structure of Nd6SnS4.

The structure belongs to space group Cmcm (No. 63); the cell edges are 4.1888, 13.4471 and 20.7156 Å and the angles 90.00°, 90.00° and 90.00°. Symmetry generates all atoms from Nd at (0.0000, 0.0000, 0.0000), Nd at (0.0000, 0.1657, 0.2500), Nd at (0.0000, 0.2700, 0.5835), Nd at (0.0000, 0.4612, 0.1583), Sn at (0.0000, 0.1584, 0.7500), S at (0.0000, 0.0966, 0.1229) and S at (0.0000, 0.3633, 0.0394).

As for the density of states at the Fermi level: 0.64 states/eV per atom. For the uncorrected formation energy, the calculation gives -1633 meV/atom.

VASP calculation (GGA-PBE) on an optimized crystal structure of TaAs.

The structure belongs to space group Pnma (No. 62); the cell edges are 6.0860, 4.4783 and 5.1897 Å and the angles 90.00°, 90.00° and 90.00°. Symmetry generates all atoms from Ta at (0.0283, 0.2500, 0.1660) and As at (0.1803, 0.2500, 0.6531).

As for the density of states at the Fermi level: 0.32 states/eV per atom. The calculation puts the formation energy from the elements at -0.59 eV/f.u.

VASP calculation (GGA-PBE) on an optimized crystal structure of MnC5.

The structure belongs to space group Amm2 (No. 38); the cell edges are 2.6073, 3.3775 and 14.2819 Å and the angles 90.00°, 90.00° and 90.00°. Symmetry generates all atoms from Mn at (0.0000, 0.0000, 0.0000), C at (0.0000, 0.0000, 0.3814), C at (0.0000, 0.0000, 0.5686), C at (0.5000, 0.0000, 0.1070), C at (0.5000, 0.0000, 0.3908) and C at (0.5000, 0.0000, 0.6190).

Its energy above the most stable polymorph in this dataset is 544 meV/atom. As for the density of states at the Fermi level: 0.26 states/eV per atom. The calculation puts the formation energy from the elements at 8.61 eV/f.u.

VASP calculation (GGA-PBE) on an optimized crystal structure of Ta2TlCd.

The structure belongs to space group F-43m (No. 216); the cell edges are 6.8792, 6.8792 and 6.8792 Å and the angles 90.00°, 90.00° and 90.00°. Symmetry generates all atoms from Ta at (0.0000, 0.0000, 0.0000), Ta at (0.2500, 0.2500, 0.2500), Tl at (0.2500, 0.2500, 0.7500) and Cd at (0.0000, 0.0000, 0.5000).

As for the density of states at the Fermi level: 0.88 states/eV per atom. The calculation puts the formation energy from the elements at 3.04 eV/f.u.

VASP calculation (GGA-PBE) on an optimized crystal structure of Pm4MgZn2Ru.

The structure belongs to space group R-3m (No. 166, hexagonal axes); the cell edges are 5.1954, 5.1954 and 25.3478 Å and the angles 90.00°, 90.00° and 120.00°. Symmetry generates all atoms from Pm at (0.0000, 0.0000, 0.1137), Pm at (0.0000, 0.0000, 0.3672), Mg at (0.0000, 0.0000, 0.5000), Zn at (0.0000, 0.0000, 0.2385) and Ru at (0.0000, 0.0000, 0.0000).

As for the density of states at the Fermi level: 0.80 states/eV per atom. The calculation puts the formation energy from the elements at -2.02 eV/f.u.

VASP calculation (GGA-PBE) on an optimized crystal structure of NaSbIrI2.

The structure belongs to space group P4/mmm (No. 123); the cell edges are 5.8684, 5.8684 and 4.9327 Å and the angles 90.00°, 90.00° and 90.00°. Symmetry generates all atoms from Na at (0.0000, 0.0000, 0.0000), Sb at (0.5000, 0.5000, 0.0000), Ir at (0.5000, 0.5000, 0.5000) and I at (0.0000, 0.5000, 0.5000).

Its energy above the most stable polymorph in this dataset is 0 meV/atom. As for the density of states at the Fermi level: 0.31 states/eV per atom. For the uncorrected formation energy, the calculation gives -29 meV/atom.

VASP calculation (GGA-PBE) on an optimized crystal structure of TmSb2Pb.

The structure belongs to space group R3m (No. 160, hexagonal axes); the cell edges are 4.5164, 4.5164 and 21.8835 Å and the angles 90.00°, 90.00° and 120.00°. Symmetry generates all atoms from Tm at (0.0000, 0.0000, 0.0000), Sb at (0.0000, 0.0000, 0.4070), Sb at (0.0000, 0.0000, 0.5920) and Pb at (0.0000, 0.0000, 0.8303).

Its energy above the most stable polymorph in this dataset is 33 meV/atom. As for the density of states at the Fermi level: 0.68 states/eV per atom. For the uncorrected formation energy, the calculation gives -370 meV/atom.

Energy? In order: -6.099, -8.545, -7.780, -5.987, -4.305, -3.510, -4.476 eV/atom.